Entry 1:
# NdHO, single point on PBEsol structure, DFT SCAN
data_NdHO
_chemical_formula_sum 'Nd8 H8 O8'
_cell_length_a 7.8244
_cell_length_b 7.8244
_cell_length_c 5.5207
_cell_angle_alpha 90.00
_cell_angle_beta 90.00
_cell_angle_gamma 90.00
_space_group_name_H-M_alt 'P 4/n m m'
_space_group_IT_number 129
loop_
_space_group_symop_operation_xyz
'x,y,z'
'-x,-y,-z'
'-y+1/2,x,z'
'y+1/2,-x,-z'
'-x+1/2,-y+1/2,z'
'x+1/2,y+1/2,-z'
'y,-x+1/2,z'
'-y,x+1/2,-z'
'x+1/2,-y,-z'
'-x+1/2,y,z'
'-y,-x,-z'
'y,x,z'
'-x,y+1/2,-z'
'x,-y+1/2,z'
'y+1/2,x+1/2,-z'
'-y+1/2,-x+1/2,z'
loop_
_atom_site_label
_atom_site_fract_x
_atom_site_fract_y
_atom_site_fract_z
Nd1 0.0000 0.0000 0.0000
Nd2 0.2500 0.2500 0.4463
Nd3 0.2500 0.7500 0.5000
H1 0.0206 0.2500 0.7468
O1 0.0147 0.7500 0.7563
# ρ ... 6.3 g/cm³
# Total moment ... 0.000 μB per atom
# DFT total energy ... -20.142 eV/atom

=====

Entry 2:
# Nd2P3H5O10, single point on PBEsol structure, DFT SCAN
data_Nd2P3H5O10
_chemical_formula_sum 'Nd8 P12 H20 O40'
_cell_length_a 9.4736
_cell_length_b 7.9676
_cell_length_c 13.4512
_cell_angle_alpha 90.00
_cell_angle_beta 113.41
_cell_angle_gamma 90.00
_space_group_name_H-M_alt 'P 1 21/c 1'
_space_group_IT_number 14
loop_
_space_group_symop_operation_xyz
'x,y,z'
'-x,-y,-z'
'-x,y+1/2,-z+1/2'
'x,-y+1/2,z+1/2'
loop_
_atom_site_label
_atom_site_fract_x
_atom_site_fract_y
_atom_site_fract_z
Nd1 0.0907 0.2118 0.4620
Nd2 0.3143 0.0814 0.2662
P1 0.0478 0.6167 0.3300
P2 0.2688 0.6945 0.1015
P3 0.4469 0.2498 0.0538
H1 0.1509 0.7480 0.3356
H2 0.2750 0.0757 0.8312
H3 0.3110 0.7279 0.5228
H4 0.3634 0.0316 0.7514
H5 0.4989 0.6066 0.4818
O1 0.0568 0.1684 0.1123
O2 0.0606 0.0893 0.2902
O3 0.1423 0.5627 0.0434
O4 0.1444 0.0386 0.8813
O5 0.1899 0.6712 0.6448
O6 0.3355 0.1886 0.1051
O7 0.3421 0.1520 0.4517
O8 0.3447 0.1208 0.7976
O9 0.4135 0.6138 0.1846
O10 0.4132 0.6570 0.8697
# ρ ... 3.9 g/cm³
# Total moment ... 0.000 μB per atom
# DFT total energy ... -12.206 eV/atom

=====

Entry 3:
# NdP3H6O12, single point on PBEsol structure, DFT SCAN
data_NdP3H6O12
_chemical_formula_sum 'Nd1 P3 H6 O12'
_cell_length_a 6.5829
_cell_length_b 6.5829
_cell_length_c 6.1092
_cell_angle_alpha 90.00
_cell_angle_beta 90.00
_cell_angle_gamma 120.00
_space_group_name_H-M_alt 'P -6'
_space_group_IT_number 174
loop_
_space_group_symop_operation_xyz
'x,y,z'
'-x+y,-x,-z'
'-y,x-y,z'
'x,y,-z'
'-x+y,-x,z'
'-y,x-y,-z'
loop_
_atom_site_label
_atom_site_fract_x
_atom_site_fract_y
_atom_site_fract_z
Nd1 0.0000 0.0000 0.0000
P1 0.3826 0.1021 0.5000
H1 0.0342 0.5426 0.1266
O1 0.0021 0.2649 0.2877
O2 0.0247 0.6300 0.0000
O3 0.4714 0.3775 0.5000
# ρ ... 3.2 g/cm³
# Total moment ... 0.000 μB per atom
# DFT total energy ... -9.815 eV/atom

=====

Entry 4:
# NdH11S3O16, single point on PBEsol structure, DFT SCAN
data_NdH11S3O16
_chemical_formula_sum 'Nd4 H44 S12 O64'
_cell_length_a 11.7105
_cell_length_b 7.0514
_cell_length_c 18.7091
_cell_angle_alpha 90.00
_cell_angle_beta 122.93
_cell_angle_gamma 90.00
_space_group_name_H-M_alt 'P 1 21/c 1'
_space_group_IT_number 14
loop_
_space_group_symop_operation_xyz
'x,y,z'
'-x,-y,-z'
'-x,y+1/2,-z+1/2'
'x,-y+1/2,z+1/2'
loop_
_atom_site_label
_atom_site_fract_x
_atom_site_fract_y
_atom_site_fract_z
Nd1 0.1058 0.0489 0.1807
H1 0.1554 0.0664 0.5529
H2 0.1687 0.6706 0.0669
H3 0.2189 0.5810 0.0016
H4 0.2411 0.0271 0.8724
H5 0.2468 0.5501 0.9132
H6 0.3308 0.0643 0.9782
H7 0.3759 0.1843 0.9184
H8 0.3855 0.6101 0.0053
H9 0.3996 0.7372 0.2973
H10 0.4564 0.5980 0.2455
H11 0.4585 0.1017 0.1462
S1 0.0238 0.5470 0.2098
S2 0.1923 0.0473 0.0481
S3 0.4105 0.0898 0.3288
O1 0.0411 0.1255 0.6730
O2 0.0732 0.7116 0.1863
O3 0.0941 0.0013 0.9586
O4 0.0959 0.5310 0.3051
O5 0.1225 0.0710 0.3192
O6 0.1499 0.5619 0.0274
O7 0.1513 0.2152 0.0771
O8 0.2044 0.6093 0.6059
O9 0.2842 0.6206 0.9675
O10 0.3158 0.2323 0.2669
O11 0.3266 0.0813 0.0586
O12 0.3302 0.5939 0.8009
O13 0.3363 0.0583 0.9251
O14 0.4462 0.1389 0.4163
O15 0.4483 0.6128 0.2979
O16 0.4637 0.5675 0.1698
# ρ ... 2.6 g/cm³
# Total moment ... 0.000 μB per atom
# DFT total energy ... -8.310 eV/atom

=====

Entry 5:
# NdH3S2O9, single point on PBEsol structure, DFT SCAN
data_NdH3S2O9
_chemical_formula_sum 'Nd4 H12 S8 O36'
_cell_length_a 8.7718
_cell_length_b 6.9233
_cell_length_c 10.6423
_cell_angle_alpha 90.00
_cell_angle_beta 90.16
_cell_angle_gamma 90.00
_space_group_name_H-M_alt 'P 1 21/c 1'
_space_group_IT_number 14
loop_
_space_group_symop_operation_xyz
'x,y,z'
'-x,-y,-z'
'-x,y+1/2,-z+1/2'
'x,-y+1/2,z+1/2'
loop_
_atom_site_label
_atom_site_fract_x
_atom_site_fract_y
_atom_site_fract_z
Nd1 0.0577 0.1673 0.3458
H1 0.3545 0.5040 0.6592
H2 0.4109 0.7378 0.6267
H3 0.4623 0.0510 0.8640
S1 0.1855 0.6629 0.3887
S2 0.2728 0.1447 0.5787
O1 0.0971 0.5066 0.3197
O2 0.1121 0.0681 0.5605
O3 0.1258 0.6759 0.5173
O4 0.1469 0.6621 0.8104
O5 0.2608 0.1956 0.1746
O6 0.3071 0.2287 0.4535
O7 0.3479 0.6269 0.3889
O8 0.3753 0.5069 0.1181
O9 0.4365 0.6087 0.6638
# ρ ... 3.7 g/cm³
# Total moment ... 0.000 μB per atom
# DFT total energy ... -10.497 eV/atom

=====

Entry 6:
# NdHSO5, single point on PBEsol structure, DFT SCAN
data_NdHSO5
_chemical_formula_sum 'Nd4 H4 S4 O20'
_cell_length_a 4.4686
_cell_length_b 12.3962
_cell_length_c 6.9839
_cell_angle_alpha 90.00
_cell_angle_beta 111.41
_cell_angle_gamma 90.00
_space_group_name_H-M_alt 'P 1 21/c 1'
_space_group_IT_number 14
loop_
_space_group_symop_operation_xyz
'x,y,z'
'-x,-y,-z'
'-x,y+1/2,-z+1/2'
'x,-y+1/2,z+1/2'
loop_
_atom_site_label
_atom_site_fract_x
_atom_site_fract_y
_atom_site_fract_z
Nd1 0.1648 0.0636 0.3029
H1 0.2111 0.6577 0.9752
S1 0.4062 0.1457 0.8861
O1 0.1992 0.0680 0.9502
O2 0.2268 0.2464 0.8166
O3 0.2358 0.5863 0.0418
O4 0.2960 0.6664 0.4390
O5 0.4706 0.0955 0.7120
# ρ ... 4.7 g/cm³
# Total moment ... 0.000 μB per atom
# DFT total energy ... -13.337 eV/atom

=====

Question: Number 5 is which compound?
Answer: NdH3S2O9

=====

Question: Which value of total moment does entry 6 give?
Answer: 0.000 μB per atom

=====

Question: Number 2 is which compound?
Answer: Nd2P3H5O10